InAuSe2: optimized geometry, PBE.

Computed properties:
Total magnetization ... 0.00 μB/cell
Raw formation energy ... -0.268 eV per atom
Density ... 6594 kg/m3
DOS(E_F) ... 0.232 states/eV per atom
Final energy ... -3.514 eV/atom

Lattice parameters (Å, degrees): 4.3703 4.3703 7.1509 90.00 90.00 120.00
Last column: nearest neighbours and their distance in Å.
Space group P3m1 (No. 156)
Inequivalent atoms, fractional coordinates:
In  0.0000  0.0000  0.0000 x1  4 Se 2.64-2.74
Au  0.3333  0.6667  0.4079 x1  3 Se 2.54
Se  0.0000  0.0000  0.3693 x1  3 Au 2.54, 1 In 2.64
Se  0.3333  0.6667  0.8506 x1  3 In 2.74